## LaTaRu2 (GGA-PBE)

Data for a relaxed structure of LaTaRu2.

a = 3.2055 Å, b = 3.2055 Å, c = 7.3675 Å
α = 90.00°, β = 90.00°, γ = 90.00°
Space group P4/mmm (No. 123)
Symmetry-distinct sites (fractional):
La 0.0000 0.0000 0.0000 [1 per cell]
Ta 0.0000 0.0000 0.5000 [1 per cell]
Ru 0.5000 0.5000 0.2978 [2 per cell]

Computed properties:
calculated volume	18.925	Å³/atom
DFT formation energy	-0.259	eV/atom
spin magnetization	0.000	μB/atom